(1)
Below is a relaxed structure of Ba3Pu2PaO9, with properties calculated at the PBE-GGA level.

Results
DOS(E_F): 8.72 states/eV/f.u.
total magnetic moment: 9.0 μB/cell
uncorrected formation energy: -3.088 eV per atom
V: 17.72 Å³ per atom

a = 6.3022 Å, b = 6.3022 Å, c = 7.7277 Å
α = 90.00°, β = 90.00°, γ = 120.00°
Space group P-3m1 (No. 164)
One atom of each set of equivalent atoms:
Ba (0.0000, 0.0000, 0.0000) x1
Ba (0.3333, 0.6667, 0.6804) x2
Pu (0.3333, 0.6667, 0.1655) x2
Pa (0.0000, 0.0000, 0.5000) x1
O (0.0000, 0.5000, 0.0000) x3
O (0.1627, 0.3254, 0.3357) x6

---

(2)
Below is a relaxed structure of BaPuPa2O8, with properties calculated at the PBE-GGA level.

Results
DOS(E_F): 9.14 states/eV/f.u.
total magnetic moment: 8.0 μB/cell
uncorrected formation energy: -3.287 eV per atom
V: 14.25 Å³ per atom

a = 5.585 Å, b = 5.585 Å, c = 10.961 Å
α = 90.00°, β = 90.00°, γ = 90.00°
Space group I-4m2 (No. 119)
One atom of each set of equivalent atoms:
Ba (0.000, 0.000, 0.000) x2
Pu (0.000, 0.500, 0.750) x2
Pa (0.000, 0.000, 0.500) x2
Pa (0.000, 0.500, 0.250) x2
O (0.226, 0.233, 0.367) x16

---

(3)
Below is a relaxed structure of BaPuPaO6, with properties calculated at the PBE-GGA level.

Results
DOS(E_F): 10.30 states/eV/f.u.
total magnetic moment: 6.0 μB/cell
uncorrected formation energy: -3.141 eV per atom
V: 18.76 Å³ per atom

a = 5.9927 Å, b = 5.9927 Å, c = 10.8578 Å
α = 90.00°, β = 90.00°, γ = 120.00°
Space group P-31c (No. 163)
One atom of each set of equivalent atoms:
Ba (0.0000, 0.0000, 0.0000) x2
Pu (0.3333, 0.6667, 0.2500) x2
Pa (0.3333, 0.6667, 0.7500) x2
O (0.0052, 0.3803, 0.1497) x12

---

(4)
Below is a relaxed structure of RbBaPaO4, with properties calculated at the PBE-GGA level.

Results
DOS(E_F): 0.00 states/eV/f.u.
total magnetic moment: 0.0 μB/cell
uncorrected formation energy: -2.986 eV per atom
V: 19.64 Å³ per atom

a = 4.474 Å, b = 4.474 Å, c = 13.732 Å
α = 90.00°, β = 90.00°, γ = 90.00°
Space group I4mm (No. 107)
One atom of each set of equivalent atoms:
Rb (0.000, 0.000, 0.000) x2
Ba (0.000, 0.000, 0.699) x2
Pa (0.000, 0.000, 0.352) x2
O (0.000, 0.000, 0.199) x2
O (0.000, 0.000, 0.505) x2
O (0.000, 0.500, 0.339) x4

---

(5)
Below is a relaxed structure of RbBaPa2O7, with properties calculated at the PBE-GGA level.

Results
DOS(E_F): 10.17 states/eV/f.u.
total magnetic moment: 0.3 μB/cell
uncorrected formation energy: -3.011 eV per atom
V: 21.02 Å³ per atom

a = 4.400 Å, b = 4.400 Å, c = 23.890 Å
α = 90.00°, β = 90.00°, γ = 90.00°
Space group I-4m2 (No. 119)
One atom of each set of equivalent atoms:
Rb (0.000, 0.000, 0.000) x2
Ba (0.000, 0.500, 0.750) x2
Pa (0.000, 0.500, 0.156) x4
O (0.000, 0.000, 0.168) x4
O (0.000, 0.000, 0.330) x4
O (0.000, 0.500, 0.074) x4
O (0.000, 0.500, 0.250) x2

---

(6)
Below is a relaxed structure of Rb4Ba3PaO8, with properties calculated at the PBE-GGA level.

Results
DOS(E_F): 17.38 states/eV/f.u.
total magnetic moment: 2.0 μB/cell
uncorrected formation energy: -2.233 eV per atom
V: 21.81 Å³ per atom

a = 13.527 Å, b = 7.802 Å, c = 8.000 Å
α = 90.00°, β = 124.25°, γ = 90.00°
Space group C2/m (No. 12)
One atom of each set of equivalent atoms:
Rb (0.000, 0.000, 0.000) x2
Rb (0.000, 0.500, 0.000) x2
Rb (0.250, 0.250, 0.000) x4
Ba (0.000, 0.000, 0.500) x2
Ba (0.250, 0.250, 0.500) x4
Pa (0.000, 0.500, 0.500) x2
O (0.008, 0.291, 0.316) x8
O (0.200, 0.500, 0.684) x4
O (0.236, 0.000, 0.707) x4

---

(7)
Below is a relaxed structure of RbBa2PaO5, with properties calculated at the PBE-GGA level.

Results
DOS(E_F): 0.00 states/eV/f.u.
total magnetic moment: 0.0 μB/cell
uncorrected formation energy: -2.890 eV per atom
V: 20.86 Å³ per atom

a = 4.471 Å, b = 6.692 Å, c = 12.551 Å
α = 90.00°, β = 90.00°, γ = 90.00°
Space group Immm (No. 71)
One atom of each set of equivalent atoms:
Rb (0.000, 0.000, 0.000) x2
Ba (0.000, 0.500, 0.225) x4
Pa (0.000, 0.000, 0.500) x2
O (0.000, 0.216, 0.369) x8
O (0.000, 0.500, 0.000) x2

---

(8)
Below is a relaxed structure of Rb2BaPaO5, with properties calculated at the PBE-GGA level.

Results
DOS(E_F): 5.48 states/eV/f.u.
total magnetic moment: 2.1 μB/cell
uncorrected formation energy: -2.464 eV per atom
V: 20.77 Å³ per atom

a = 4.386 Å, b = 6.216 Å, c = 13.710 Å
α = 90.00°, β = 90.00°, γ = 90.00°
Space group Immm (No. 71)
One atom of each set of equivalent atoms:
Rb (0.000, 0.000, 0.220) x4
Ba (0.000, 0.500, 0.000) x2
Pa (0.000, 0.500, 0.500) x2
O (0.000, 0.000, 0.000) x2
O (0.000, 0.250, 0.394) x8

---

(9)
Below is a relaxed structure of RbBa2Pa2O7, with properties calculated at the PBE-GGA level.

Results
DOS(E_F): 4.94 states/eV/f.u.
total magnetic moment: 1.2 μB/cell
uncorrected formation energy: -2.855 eV per atom
V: 19.37 Å³ per atom

a = 4.631 Å, b = 4.716 Å, c = 21.288 Å
α = 90.00°, β = 90.00°, γ = 90.00°
Space group Immm (No. 71)
One atom of each set of equivalent atoms:
Rb (0.000, 0.000, 0.000) x2
Ba (0.000, 0.500, 0.254) x4
Pa (0.000, 0.000, 0.398) x4
O (0.000, 0.000, 0.297) x4
O (0.000, 0.000, 0.500) x2
O (0.000, 0.500, 0.109) x4
O (0.000, 0.500, 0.390) x4

---

(10)
Below is a relaxed structure of Ba2PaReO8, with properties calculated at the PBE-GGA level.

Results
total magnetic moment: 0.0 μB/cell
uncorrected formation energy: -2.532 eV per atom
V: 18.00 Å³ per atom

a = 8.005 Å, b = 7.821 Å, c = 6.902 Å
α = 90.00°, β = 91.13°, γ = 90.00°
Space group C2/m (No. 12)
One atom of each set of equivalent atoms:
Ba (0.004, 0.000, 0.259) x4
Pa (0.000, 0.500, 0.000) x2
Re (0.000, 0.500, 0.500) x2
O (0.000, 0.245, 0.000) x4
O (0.000, 0.264, 0.500) x4
O (0.160, 0.500, 0.718) x4
O (0.162, 0.500, 0.291) x4

---

(11)
Below is a relaxed structure of Ba2PaRe3O12, with properties calculated at the PBE-GGA level.

Results
DOS(E_F): 4.57 states/eV/f.u.
total magnetic moment: 4.0 μB/cell
uncorrected formation energy: -2.193 eV per atom
V: 16.06 Å³ per atom

a = 7.3605 Å, b = 7.3605 Å, c = 18.4854 Å
α = 90.00°, β = 90.00°, γ = 120.00°
Space group R-3m (No. 166, hexagonal axes)
One atom of each set of equivalent atoms:
Ba (0.0000, 0.0000, 0.1515) x6
Pa (0.0000, 0.0000, 0.5000) x3
Re (0.0000, 0.5000, 0.0000) x9
O (0.0282, 0.5141, 0.1097) x18
O (0.0873, 0.5436, 0.3396) x18

---

(12)
Below is a relaxed structure of BaPa2RhO8, with properties calculated at the PBE-GGA level.

Results
DOS(E_F): 5.33 states/eV/f.u.
total magnetic moment: 0.9 μB/cell
uncorrected formation energy: -2.600 eV per atom
V: 15.66 Å³ per atom

a = 5.116 Å, b = 7.181 Å, c = 5.121 Å
α = 90.00°, β = 92.58°, γ = 90.00°
Space group P2/m (No. 10)
One atom of each set of equivalent atoms:
Ba (0.000, 0.000, 0.000) x1
Pa (0.500, 0.259, 0.500) x2
Rh (0.000, 0.500, 0.000) x1
O (0.204, 0.305, 0.209) x4
O (0.293, 0.500, 0.710) x2
O (0.343, 0.000, 0.669) x2